# PBE-GGA La3TlBr, optimized geometry
data_La3TlBr
_chemical_formula_sum 'La12 Tl4 Br4'
_cell_length_a 12.6441
_cell_length_b 6.8411
_cell_length_c 8.4818
_cell_angle_alpha 90.00
_cell_angle_beta 106.96
_cell_angle_gamma 90.00
_symmetry_space_group_name_H-M 'C 1 2/m 1'
_symmetry_Int_Tables_number 12
loop_
_symmetry_equiv_pos_as_xyz
'x,y,z'
'-x,-y,-z'
'-x,y,-z'
'x,-y,z'
'x+1/2,y+1/2,z'
'-x+1/2,-y+1/2,-z'
'-x+1/2,y+1/2,-z'
'x+1/2,-y+1/2,z'
loop_
_atom_site_label
_atom_site_type_symbol
_atom_site_fract_x
_atom_site_fract_y
_atom_site_fract_z
La1 La 0.0493 0.0000 0.2600
La2 La 0.1704 0.2633 0.6486
Tl1 Tl 0.2077 0.0000 0.9981
Br1 Br 0.0507 0.5000 0.3155
# E_tot in eV/atom: -4.150
# Energy above the lowest structure with this stoichiometry in kJ/mol of formula units: 135
# Formation energy (no corrections) in eV/atom: -0.386
# Calculated volume in Å³/cell: 701.8

=====

# PBE-GGA CoTe2CI, optimized geometry
data_CoTe2CI
_chemical_formula_sum 'Co1 Te2 C1 I1'
_cell_length_a 4.9447
_cell_length_b 4.9447
_cell_length_c 5.3661
_cell_angle_alpha 90.00
_cell_angle_beta 90.00
_cell_angle_gamma 90.00
_symmetry_space_group_name_H-M 'P 4/m m m'
_symmetry_Int_Tables_number 123
_symmetry_space_group_name_Hall '-P 4 2'
loop_
_atom_site_label
_atom_site_type_symbol
_atom_site_fract_x
_atom_site_fract_y
_atom_site_fract_z
Co1 Co 0.0000 0.0000 0.0000
Te1 Te 0.0000 0.5000 0.0000
C1 C 0.5000 0.5000 0.5000
I1 I 0.0000 0.0000 0.5000
# E_tot in eV/atom: -3.178
# Energy above the lowest structure with this stoichiometry in kJ/mol of formula units: 84
# Formation energy (no corrections) in eV/atom: 1.654
# Calculated volume in Å³/cell: 131.2

=====

# PBE-GGA Lu2GaGe, optimized geometry
data_Lu2GaGe
_chemical_formula_sum 'Lu6 Ga3 Ge3'
_cell_length_a 4.6079
_cell_length_b 4.6079
_cell_length_c 14.7888
_cell_angle_alpha 90.00
_cell_angle_beta 90.00
_cell_angle_gamma 120.00
_symmetry_space_group_name_H-M 'R -3 m'
_symmetry_Int_Tables_number 166
_symmetry_space_group_name_Hall '-R 3 2"'
loop_
_atom_site_label
_atom_site_type_symbol
_atom_site_fract_x
_atom_site_fract_y
_atom_site_fract_z
Lu1 Lu 0.0000 0.0000 0.2505
Ga1 Ga 0.0000 0.0000 0.5000
Ge1 Ge 0.0000 0.0000 0.0000
# E_tot in eV/atom: -4.718
# E_form in eV/atom: -0.55
# Calculated volume in Å³/cell: 271.9

=====

# PBE-GGA SmCd6Ag12, optimized geometry
data_SmCd6Ag12
_chemical_formula_sum 'Sm3 Cd18 Ag36'
_cell_length_a 12.2088
_cell_length_b 12.2088
_cell_length_c 9.5394
_cell_angle_alpha 90.00
_cell_angle_beta 90.00
_cell_angle_gamma 120.00
_symmetry_space_group_name_H-M 'R -3 m'
_symmetry_Int_Tables_number 166
_symmetry_space_group_name_Hall '-R 3 2"'
loop_
_atom_site_label
_atom_site_type_symbol
_atom_site_fract_x
_atom_site_fract_y
_atom_site_fract_z
Sm1 Sm 0.0000 0.0000 0.0000
Cd1 Cd 0.0658 0.5329 0.2372
Ag1 Ag 0.0000 0.3892 0.5000
Ag2 Ag 0.0812 0.1625 0.2716
# E_tot in eV/atom: -2.281
# E_form in eV/atom: 0.06
# Calculated volume in Å³/cell: 1231.4

=====

# PBE-GGA CoGeI, optimized geometry
data_CoGeI
_chemical_formula_sum 'Co4 Ge4 I4'
_cell_length_a 4.7385
_cell_length_b 5.0200
_cell_length_c 11.1405
_cell_angle_alpha 90.00
_cell_angle_beta 95.36
_cell_angle_gamma 90.00
_symmetry_space_group_name_H-M 'C 1 2/m 1'
_symmetry_Int_Tables_number 12
loop_
_symmetry_equiv_pos_as_xyz
'x,y,z'
'-x,-y,-z'
'-x,y,-z'
'x,-y,z'
'x+1/2,y+1/2,z'
'-x+1/2,-y+1/2,-z'
'-x+1/2,y+1/2,-z'
'x+1/2,-y+1/2,z'
loop_
_atom_site_label
_atom_site_type_symbol
_atom_site_fract_x
_atom_site_fract_y
_atom_site_fract_z
Co1 Co 0.1727 0.0000 0.1124
Ge1 Ge 0.1808 0.5000 0.0957
I1 I 0.2118 0.0000 0.3386
# E_tot in eV/atom: -4.316
# Formation energy (no corrections) in eV/atom: 0.109
# Calculated volume in Å³/cell: 263.8

=====

# PBE-GGA DyAlGa2Ni5, optimized geometry
data_DyAlGa2Ni5
_chemical_formula_sum 'Dy1 Al1 Ga2 Ni5'
_cell_length_a 4.4055
_cell_length_b 4.4055
_cell_length_c 6.9881
_cell_angle_alpha 90.00
_cell_angle_beta 90.00
_cell_angle_gamma 90.00
_symmetry_space_group_name_H-M 'P 4/m m m'
_symmetry_Int_Tables_number 123
_symmetry_space_group_name_Hall '-P 4 2'
loop_
_atom_site_label
_atom_site_type_symbol
_atom_site_fract_x
_atom_site_fract_y
_atom_site_fract_z
Dy1 Dy 0.0000 0.0000 0.0000
Al1 Al 0.0000 0.0000 0.5000
Ga1 Ga 0.5000 0.5000 0.3303
Ni1 Ni 0.0000 0.5000 0.2669
Ni2 Ni 0.5000 0.5000 0.0000
# E_tot in eV/atom: -4.917
# E_form in eV/atom: -0.11
# Calculated volume in Å³/cell: 135.6